[1]
# Pr2Nd3In3

Pr2Nd3In3 after structural relaxation (PBE-GGA, the Alexandria database).

Results
- D(E_F): 1.3767 states/eV per atom
- Energy relative to the lowest polymorph listed for this composition: 25 meV/atom

a = 9.5533 Å, b = 9.5533 Å, c = 6.4783 Å
α = 90.00°, β = 90.00°, γ = 120.00°
Element x y z (fractional)
Pr (0.3333, 0.6667, 0.0000)
Pr (0.3333, 0.6667, 0.5000)
Pr (0.6667, 0.3333, 0.0000)
Pr (0.6667, 0.3333, 0.5000)
Nd (0.0000, 0.2346, 0.2500)
Nd (0.0000, 0.7654, 0.7500)
Nd (0.2346, 0.0000, 0.2500)
Nd (0.2346, 0.2346, 0.7500)
Nd (0.7654, 0.0000, 0.7500)
Nd (0.7654, 0.7654, 0.2500)
In (0.0000, 0.3951, 0.7500)
In (0.0000, 0.6049, 0.2500)
In (0.3951, 0.0000, 0.7500)
In (0.3951, 0.3951, 0.2500)
In (0.6049, 0.0000, 0.2500)
In (0.6049, 0.6049, 0.7500)


[2]
# Pr3NdIn

Pr3NdIn after structural relaxation (PBE-GGA, the Alexandria database).

Results
- D(E_F): 1.6196 states/eV per atom
- Energy relative to the lowest polymorph listed for this composition: 135 meV/atom

a = 6.9981 Å, b = 6.9981 Å, c = 6.9981 Å
α = 87.65°, β = 87.65°, γ = 87.65°
Element x y z (fractional)
Pr (0.0843, 0.7500, 0.4157)
Pr (0.2500, 0.5843, 0.9157)
Pr (0.4157, 0.0843, 0.7500)
Pr (0.5843, 0.9157, 0.2500)
Pr (0.7500, 0.4157, 0.0843)
Pr (0.9157, 0.2500, 0.5843)
Nd (0.0000, 0.0000, 0.0000)
Nd (0.5000, 0.5000, 0.5000)
In (0.2500, 0.2500, 0.2500)
In (0.7500, 0.7500, 0.7500)


[3]
# Pr14NdIn

Pr14NdIn after structural relaxation (PBE-GGA, the Alexandria database).

Results
- VASP energy: -4.6936 eV per atom
- D(E_F): 1.2542 states/eV per atom

a = 10.3854 Å, b = 7.3371 Å, c = 7.3371 Å
α = 90.00°, β = 90.00°, γ = 90.00°
Element x y z (fractional)
Pr (0.0000, 0.0000, 0.0000)
Pr (0.0000, 0.9996, 0.4999)
Pr (0.0000, 0.4992, 0.4992)
Pr (0.0000, 0.4999, 0.9996)
Pr (0.2554, 0.7533, 0.7533)
Pr (0.2557, 0.2460, 0.2460)
Pr (0.2556, 0.2458, 0.7535)
Pr (0.2556, 0.7535, 0.2458)
Pr (0.5000, 0.9997, 0.4994)
Pr (0.5000, 0.4994, 0.9997)
Pr (0.7443, 0.2460, 0.2460)
Pr (0.7444, 0.2458, 0.7535)
Pr (0.7444, 0.7535, 0.2458)
Pr (0.7446, 0.7533, 0.7533)
Nd (0.5000, 0.4998, 0.4998)
In (0.5000, 0.9990, 0.9990)